[1]
Here is crystalline Rb3La2YS6 at its relaxed geometry from the Alexandria database. Energies are from PBE-GGA.

Results
volume = 29.998 Å³ per atom
DOS at the Fermi energy = 0.0 states/eV/f.u.

a = 7.350 Å, b = 12.731 Å, c = 8.075 Å
α = 90.00°, β = 107.68°, γ = 90.00°
Space group C2/m (No. 12)
Inequivalent atoms, fractional coordinates:
Rb 0.000 0.000 0.000 (multiplicity 2)
Rb 0.000 0.333 0.000 (multiplicity 4)
La 0.000 0.167 0.500 (multiplicity 4)
Y 0.000 0.500 0.500 (multiplicity 2)
S 0.226 0.339 0.696 (multiplicity 8)
S 0.243 0.000 0.696 (multiplicity 4)

[2]
Here is crystalline K6Bi2Pd at its relaxed geometry from the Alexandria database. Energies are from PBE-GGA.

Results
volume = 39.719 Å³ per atom
DOS at the Fermi energy = 3.5 states/eV/f.u.

a = 6.1088 Å, b = 6.1088 Å, c = 33.1837 Å
α = 90.00°, β = 90.00°, γ = 120.00°
Space group R-3m (No. 166, hexagonal axes)
Inequivalent atoms, fractional coordinates:
K 0.0000 0.0000 0.0805 (multiplicity 6)
K 0.0000 0.0000 0.1949 (multiplicity 6)
K 0.0000 0.0000 0.3073 (multiplicity 6)
Bi 0.0000 0.0000 0.4164 (multiplicity 6)
Pd 0.0000 0.0000 0.5000 (multiplicity 3)

[3]
Here is crystalline Na5PrPb6 at its relaxed geometry from the Alexandria database. Energies are from PBE-GGA.

Results
volume = 29.080 Å³ per atom
DOS at the Fermi energy = 6.3 states/eV/f.u.

a = 4.916 Å, b = 9.749 Å, c = 7.675 Å
α = 90.00°, β = 108.43°, γ = 90.00°
Space group P2/m (No. 10)
Inequivalent atoms, fractional coordinates:
Na 0.000 0.000 0.000 (multiplicity 1)
Na 0.322 0.500 0.646 (multiplicity 2)
Na 0.332 0.000 0.665 (multiplicity 2)
Pr 0.000 0.500 0.000 (multiplicity 1)
Pb 0.168 0.249 0.333 (multiplicity 4)
Pb 0.500 0.255 0.000 (multiplicity 2)

no.,E_tot (eV per atom)
1,-5.546
2,-2.486
3,-2.994